Entry 1:
! CdIr2Rh, relaxed, DFT GGA-PBEsol; values from VASP
&SYSTEM
  ibrav = 0, nat = 4, ntyp = 3
/
ATOMIC_SPECIES
Ir 192.22 Ir.upf
Rh 102.91 Rh.upf
Cd 112.41 Cd.upf
ATOMIC_POSITIONS angstrom
Ir -1.814 0.419 2.198
Ir -5.295 1.409 6.084
Rh -3.555 0.914 4.141
Cd 0.000 0.000 0.000
CELL_PARAMETERS angstrom
-0.899 2.558 0.500
-2.615 0.676 -0.557
-3.596 -1.407 8.339
! Calculated volume (Å³/atom): 14.90
! Size of the total moment (μB per atom): 0.00
! VASP energy (eV per atom): -7.1089
! Space group: R-3m (166)

=====

Entry 2:
! CdIr2Rh, relaxed, DFT GGA-PBEsol; values from VASP
&SYSTEM
  ibrav = 0, nat = 4, ntyp = 3
/
ATOMIC_SPECIES
Cd 112.41 Cd.upf
Ir 192.22 Ir.upf
Rh 102.91 Rh.upf
ATOMIC_POSITIONS angstrom
Cd -3.533 -3.475 2.140
Ir -5.300 -5.212 3.210
Ir 0.000 0.000 0.000
Rh -1.767 -1.737 1.070
CELL_PARAMETERS angstrom
-2.165 -3.785 -0.643
-0.793 -2.690 3.400
-4.109 -0.475 1.523
! Calculated volume (Å³/atom): 15.14
! Size of the total moment (μB per atom): 0.24
! VASP energy (eV per atom): -6.8139
! Space group: F-43m (216)

=====

Entry 3:
! CdIr2Rh, relaxed, DFT GGA-PBEsol; values from VASP
&SYSTEM
  ibrav = 0, nat = 4, ntyp = 3
/
ATOMIC_SPECIES
Ir 192.22 Ir.upf
Cd 112.41 Cd.upf
Rh 102.91 Rh.upf
ATOMIC_POSITIONS angstrom
Ir 0.000 1.923 0.000
Ir 1.923 0.000 0.000
Cd 0.000 0.000 2.022
Rh 1.923 1.923 2.022
CELL_PARAMETERS angstrom
3.846 0.000 0.000
0.000 3.846 0.000
0.000 0.000 4.045
! Calculated volume (Å³/atom): 14.95
! Size of the total moment (μB per atom): 0.00
! VASP energy (eV per atom): -6.9785
! Space group: P4/mmm (123)

=====

Entry 4:
! CdIrRu2, relaxed, DFT GGA-PBEsol; values from VASP
&SYSTEM
  ibrav = 0, nat = 4, ntyp = 3
/
ATOMIC_SPECIES
Cd 112.41 Cd.upf
Ru 101.07 Ru.upf
Ir 192.22 Ir.upf
ATOMIC_POSITIONS angstrom
Cd 1.935 1.935 1.967
Ru 1.935 0.000 0.000
Ir 0.000 0.000 1.967
Ru 0.000 1.935 0.000
CELL_PARAMETERS angstrom
3.871 0.000 0.000
0.000 3.871 0.000
0.000 0.000 3.934
! Calculated volume (Å³/atom): 14.73
! Size of the total moment (μB per atom): 0.00
! VASP energy (eV per atom): -7.3365
! Space group: P4/mmm (123)

=====

Entry 5:
! Cd2IrRu, relaxed, DFT GGA-PBEsol; values from VASP
&SYSTEM
  ibrav = 0, nat = 4, ntyp = 3
/
ATOMIC_SPECIES
Cd 112.41 Cd.upf
Ru 101.07 Ru.upf
Ir 192.22 Ir.upf
ATOMIC_POSITIONS angstrom
Cd -1.534 1.194 1.277
Ru -0.669 -1.249 0.365
Ir -3.750 1.150 2.929
Cd -4.628 3.603 3.852
CELL_PARAMETERS angstrom
-2.077 -1.045 -1.519
0.740 -1.453 2.248
-6.162 4.797 5.129
! Calculated volume (Å³/atom): 16.13
! Size of the total moment (μB per atom): 0.13
! VASP energy (eV per atom): -5.1958
! Space group: Cmmm (65)

=====

Entry 6:
! Cd2IrRu, relaxed, DFT GGA-PBEsol; values from VASP
&SYSTEM
  ibrav = 0, nat = 4, ntyp = 3
/
ATOMIC_SPECIES
Ru 101.07 Ru.upf
Ir 192.22 Ir.upf
Cd 112.41 Cd.upf
ATOMIC_POSITIONS angstrom
Ru 0.000 0.000 0.000
Ir 1.986 1.986 0.000
Cd 1.986 0.000 2.058
Cd 0.000 1.986 2.058
CELL_PARAMETERS angstrom
3.972 0.000 0.000
0.000 3.972 0.000
-1.986 -1.986 4.115
! Calculated volume (Å³/atom): 16.23
! Size of the total moment (μB per atom): 0.38
! VASP energy (eV per atom): -5.1505
! Space group: I4/mmm (139)

=====

Entry 7:
! CdIrRu2, relaxed, DFT GGA-PBEsol; values from VASP
&SYSTEM
  ibrav = 0, nat = 4, ntyp = 3
/
ATOMIC_SPECIES
Ru 101.07 Ru.upf
Ir 192.22 Ir.upf
Cd 112.41 Cd.upf
ATOMIC_POSITIONS angstrom
Ru 2.372 2.212 1.271
Ir 0.983 2.212 3.934
Ru 2.338 0.000 4.809
Cd 1.001 0.000 2.325
CELL_PARAMETERS angstrom
2.724 0.000 0.024
0.000 4.423 0.000
-0.047 0.000 4.912
! Calculated volume (Å³/atom): 14.80
! Size of the total moment (μB per atom): 0.00
! VASP energy (eV per atom): -7.5008
! Space group: Pmm2 (25)

=====

Entry 8:
! CdIrRu2, relaxed, DFT GGA-PBEsol; values from VASP
&SYSTEM
  ibrav = 0, nat = 4, ntyp = 3
/
ATOMIC_SPECIES
Cd 112.41 Cd.upf
Ir 192.22 Ir.upf
Ru 101.07 Ru.upf
ATOMIC_POSITIONS angstrom
Cd 1.917 1.917 0.000
Ir 0.000 0.000 0.000
Ru 1.917 0.000 1.993
Ru 0.000 1.917 1.993
CELL_PARAMETERS angstrom
3.834 0.000 0.000
0.000 3.834 0.000
-1.917 -1.917 3.986
! Calculated volume (Å³/atom): 14.64
! Size of the total moment (μB per atom): 0.00
! VASP energy (eV per atom): -7.4447
! Space group: I4/mmm (139)

=====

Entry 9:
! CdIrRu2, relaxed, DFT GGA-PBEsol; values from VASP
&SYSTEM
  ibrav = 0, nat = 4, ntyp = 3
/
ATOMIC_SPECIES
Ru 101.07 Ru.upf
Cd 112.41 Cd.upf
Ir 192.22 Ir.upf
ATOMIC_POSITIONS angstrom
Ru 0.000 0.000 4.168
Cd 1.354 1.905 0.000
Ru 0.000 0.000 1.604
Ir 1.354 1.905 2.886
CELL_PARAMETERS angstrom
2.708 0.000 0.000
0.000 3.811 0.000
0.000 0.000 5.773
! Calculated volume (Å³/atom): 14.89
! Size of the total moment (μB per atom): 0.00
! VASP energy (eV per atom): -7.5363
! Space group: Pmmm (47)

=====

Entry 10:
! Cd2IrRu, relaxed, DFT GGA-PBEsol; values from VASP
&SYSTEM
  ibrav = 0, nat = 4, ntyp = 3
/
ATOMIC_SPECIES
Cd 112.41 Cd.upf
Ir 192.22 Ir.upf
Ru 101.07 Ru.upf
ATOMIC_POSITIONS angstrom
Cd -1.823 -2.000 0.238
Ir -1.085 0.477 -0.713
Ru 0.311 -1.968 -1.503
Cd -1.049 -0.510 2.454
CELL_PARAMETERS angstrom
-2.170 0.955 -1.425
0.622 -3.935 -3.007
-2.098 -1.020 4.907
! Calculated volume (Å³/atom): 16.08
! Size of the total moment (μB per atom): 0.06
! VASP energy (eV per atom): -5.2067
! Space group: C2/m (12)

=====

Entry 11:
! CdIrS2, relaxed, DFT GGA-PBEsol; values from VASP
&SYSTEM
  ibrav = 0, nat = 4, ntyp = 3
/
ATOMIC_SPECIES
S 32.06 S.upf
Ir 192.22 Ir.upf
Cd 112.41 Cd.upf
ATOMIC_POSITIONS angstrom
S 2.113 2.158 4.389
S -2.383 2.387 5.742
Ir -0.135 2.272 5.065
Cd 0.000 0.000 0.000
CELL_PARAMETERS angstrom
-2.260 2.366 1.353
-1.987 -0.852 2.804
3.977 3.031 5.974
! Calculated volume (Å³/atom): 20.40
! Size of the total moment (μB per atom): 0.00
! VASP energy (eV per atom): -5.2044
! Space group: R-3m (166)
! Energy relative to the elements, uncorrected (eV per atom): -0.26

=====

Entry 12:
! Cd2SbIr, relaxed, DFT GGA-PBEsol; values from VASP
&SYSTEM
  ibrav = 0, nat = 4, ntyp = 3
/
ATOMIC_SPECIES
Cd 112.41 Cd.upf
Sb 121.76 Sb.upf
Ir 192.22 Ir.upf
ATOMIC_POSITIONS angstrom
Cd 0.984 -0.946 1.105
Cd 3.978 -3.824 4.467
Sb 0.900 -3.841 2.948
Ir -1.581 -1.456 0.162
CELL_PARAMETERS angstrom
-2.411 -0.371 1.829
-0.752 -2.542 -1.506
4.963 -4.770 5.572
! Calculated volume (Å³/atom): 20.58
! Size of the total moment (μB per atom): 0.00
! VASP energy (eV per atom): -3.9699
! Space group: P4/mmm (123)
! Energy relative to the elements, uncorrected (eV per atom): 0.22

=====

Q: VASP energy of number 5 (Cd2IrRu)?
A: -5.1958 eV per atom